Mg2MnBr | GGA-PBEsol | optimized geometry

Geometry as POSCAR:
```
Mg2MnBr
1.0
3.3464 0.0000 0.0000
0.0000 3.2602 0.0000
-0.0184 0.0000 7.8349
Mg Mn Br
2 1 1
Direct
0.0013 0.0000 0.2160 Mg
0.9987 0.0000 0.7840 Mg
0.5000 0.5000 0.0000 Mn
0.0000 0.5000 0.5000 Br
```

Results
Formation energy from raw total energies   -0.054 eV/atom
ΔE to the lowest computed polymorph   0.00 eV per formula unit

CdPdN3 | GGA-PBEsol | optimized geometry

Geometry as POSCAR:
```
CdPdN3
1.0
4.1105 0.0000 0.0000
0.0000 4.1105 0.0000
0.0000 0.0000 4.1105
Cd Pd N
1 1 3
Direct
0.0000 0.0000 0.0000 Cd
0.5000 0.5000 0.5000 Pd
0.0000 0.0000 0.5000 N
0.0000 0.5000 0.0000 N
0.5000 0.0000 0.0000 N
```

Results
Formation energy from raw total energies   2.643 eV/atom

CaMg2Tl | GGA-PBEsol | optimized geometry

Geometry as POSCAR:
```
CaMg2Tl
1.0
3.4620 0.0000 0.0000
0.0000 4.8673 0.0000
-1.7029 0.0000 6.1331
Ca Mg Tl
1 2 1
Direct
0.0000 0.0000 0.0000 Ca
0.2651 0.0000 0.5241 Mg
0.6699 0.5000 0.3369 Mg
0.4002 0.5000 0.7968 Tl
```

Results
ΔE to the lowest computed polymorph   0.14 eV per formula unit

GaBPOs2 | GGA-PBEsol | optimized geometry

Geometry as POSCAR:
```
GaBPOs2
1.0
4.4699 0.0000 0.0000
0.0000 4.4699 0.0000
0.0000 0.0000 3.5437
Ga B P Os
1 1 1 2
Direct
0.0000 0.0000 0.0000 Ga
0.5000 0.5000 0.0000 B
0.5000 0.5000 0.5000 P
0.0000 0.5000 0.5000 Os
0.5000 0.0000 0.5000 Os
```

Results
Final energy   -0.51763 Ry/atom

Re2Rh | GGA-PBEsol | optimized geometry

Geometry as POSCAR:
```
Re2Rh
1.0
4.1234 -2.3833 0.0000
4.1234 2.3833 0.0000
0.0000 0.0000 4.3110
Re Rh
4 2
Direct
0.0033 0.3326 0.2500 Re
0.3326 0.0033 0.7500 Re
0.6674 0.9967 0.2500 Re
0.9967 0.6674 0.7500 Re
0.3367 0.6633 0.2500 Rh
0.6633 0.3367 0.7500 Rh
```

Results
ΔE to the lowest computed polymorph   0.00 eV per formula unit

LiGaNF2 | GGA-PBEsol | optimized geometry

Geometry as POSCAR:
```
LiGaNF2
1.0
3.3727 0.0000 0.0000
0.0000 3.3727 0.0000
0.0000 0.0000 4.1656
Li Ga N F
1 1 1 2
Direct
0.0000 0.0000 0.0000 Li
0.5000 0.5000 0.5000 Ga
0.0000 0.0000 0.5000 N
0.0000 0.5000 0.0000 F
0.5000 0.0000 0.0000 F
```

Results
Formation energy from raw total energies   -0.787 eV/atom

Ca2TeW | GGA-PBEsol | optimized geometry

Geometry as POSCAR:
```
Ca2TeW
1.0
3.2458 -4.6268 0.0000
3.2458 4.6268 0.0000
0.0000 0.0000 3.0596
Ca Te W
2 1 1
Direct
0.0000 0.5000 0.0000 Ca
0.5000 0.0000 0.0000 Ca
0.0000 0.0000 0.5000 Te
0.5000 0.5000 0.5000 W
```

Results
Formation energy from raw total energies   0.357 eV/atom
ΔE to the lowest computed polymorph   0.39 eV per formula unit

CuSOF2 | GGA-PBEsol | optimized geometry

Geometry as POSCAR:
```
CuSOF2
1.0
3.7548 0.0000 0.0000
0.0000 3.7548 0.0000
0.0000 0.0000 4.0249
Cu S O F
1 1 1 2
Direct
0.0000 0.0000 0.0000 Cu
0.5000 0.5000 0.5000 S
0.0000 0.0000 0.5000 O
0.0000 0.5000 0.0000 F
0.5000 0.0000 0.0000 F
```

Results
Formation energy from raw total energies   -0.216 eV/atom
ΔE to the lowest computed polymorph   0.34 eV per formula unit

KBe2Pt | GGA-PBEsol | optimized geometry

Geometry as POSCAR:
```
KBe2Pt
1.0
-1.9703 1.9703 4.1398
1.9703 -1.9703 4.1398
1.9703 1.9703 -4.1398
K Be Pt
1 2 1
Direct
0.0000 0.0000 0.0000 K
0.2500 0.7500 0.5000 Be
0.5000 0.5000 0.0000 Be
0.7500 0.2500 0.5000 Pt
```

Results
ΔE to the lowest computed polymorph   3.38 eV per formula unit

SrZrCu | GGA-PBEsol | optimized geometry

Geometry as POSCAR:
```
SrZrCu
1.0
4.3491 0.0000 0.0000
-2.1746 3.7664 0.0000
0.0000 0.0000 4.9044
Sr Zr Cu
1 1 1
Direct
0.0000 0.0000 0.0000 Sr
0.3333 0.6667 0.5000 Zr
0.6667 0.3333 0.5000 Cu
```

Results
ΔE to the lowest computed polymorph   0.00 eV per formula unit

TlPb | GGA-PBEsol | optimized geometry

Geometry as POSCAR:
```
TlPb
1.0
-2.4978 2.4978 4.6466
2.4978 -2.4978 4.6466
2.4978 2.4978 -4.6466
Tl Pb
2 2
Direct
0.3750 0.6250 0.7500 Tl
0.6250 0.3750 0.2500 Tl
0.1250 0.8750 0.2500 Pb
0.8750 0.1250 0.7500 Pb
```

Results
Final energy   -0.24399 Ry/atom

K2CdSb | GGA-PBEsol | optimized geometry

Geometry as POSCAR:
```
K2CdSb
1.0
1.8105 1.0453 11.5611
-1.8105 1.0453 11.5611
0.0000 -2.0906 11.5611
K Cd Sb
2 1 1
Direct
0.2469 0.2469 0.2469 K
0.7531 0.7531 0.7531 K
0.0000 0.0000 0.0000 Cd
0.5000 0.5000 0.5000 Sb
```

Results
Formation energy from raw total energies   0.021 eV/atom
ΔE to the lowest computed polymorph   0.77 eV per formula unit

CrTc4 | GGA-PBEsol | optimized geometry

Geometry as POSCAR:
```
CrTc4
1.0
-2.0231 2.0231 5.1139
2.0231 -2.0231 5.1139
2.0231 2.0231 -5.1139
Cr Tc
1 4
Direct
0.0000 0.0000 0.0000 Cr
0.2500 0.7500 0.5000 Tc
0.3850 0.3850 0.0000 Tc
0.6150 0.6150 0.0000 Tc
0.7500 0.2500 0.5000 Tc
```

Results
Final energy   -0.75559 Ry/atom

LaCuAu | GGA-PBEsol | optimized geometry

Geometry as POSCAR:
```
LaCuAu
1.0
4.4584 0.0000 0.0000
-2.2292 3.8611 0.0000
0.0000 0.0000 3.7709
La Cu Au
1 1 1
Direct
0.0000 0.0000 0.0000 La
0.3333 0.6667 0.5000 Cu
0.6667 0.3333 0.5000 Au
```

Results
Final energy   -0.37215 Ry/atom

TaSb2As | GGA-PBEsol | optimized geometry

Geometry as POSCAR:
```
TaSb2As
1.0
4.4231 -1.7470 0.0000
4.4231 1.7470 0.0000
-0.9950 0.0000 6.0359
Ta Sb As
1 2 1
Direct
0.0000 0.0000 0.0000 Ta
0.4887 0.4887 0.6338 Sb
0.7076 0.7076 0.2995 Sb
0.2840 0.2840 0.9454 As
```

Results
Formation energy from raw total energies   0.033 eV/atom

Li2SiPb | GGA-PBEsol | optimized geometry

Geometry as POSCAR:
```
Li2SiPb
1.0
0.0000 3.2853 3.2853
3.2853 0.0000 3.2853
3.2853 3.2853 0.0000
Li Si Pb
2 1 1
Direct
0.2500 0.2500 0.2500 Li
0.7500 0.7500 0.7500 Li
0.0000 0.0000 0.0000 Si
0.5000 0.5000 0.5000 Pb
```

Results
Formation energy from raw total energies   -0.106 eV/atom
ΔE to the lowest computed polymorph   0.00 eV per formula unit

Re2PBr | GGA-PBEsol | optimized geometry

Geometry as POSCAR:
```
Re2PBr
1.0
1.4754 -2.5317 0.0000
1.4754 2.5317 0.0000
0.0000 0.0000 8.3097
Re P Br
2 1 1
Direct
0.0000 0.0000 0.2159 Re
0.0000 0.0000 0.7841 Re
0.5000 0.5000 0.0000 P
0.5000 0.5000 0.5000 Br
```

Results
Formation energy from raw total energies   0.773 eV/atom
ΔE to the lowest computed polymorph   0.07 eV per formula unit

Y2AlPt | GGA-PBEsol | optimized geometry

Geometry as POSCAR:
```
Y2AlPt
1.0
4.3070 0.0000 0.0000
0.0000 1.9182 5.4570
0.0000 -1.9182 5.4570
Y Al Pt
2 1 1
Direct
0.0000 0.0000 0.0000 Y
0.5000 0.2923 0.2923 Y
0.0000 0.7132 0.7132 Al
0.5000 0.5716 0.5716 Pt
```

Results
Final energy   -0.51372 Ry/atom

PmHoIn2 | GGA-PBEsol | optimized geometry

Geometry as POSCAR:
```
PmHoIn2
1.0
0.0000 3.7278 3.7278
3.7278 0.0000 3.7278
3.7278 3.7278 0.0000
Pm Ho In
1 1 2
Direct
0.0000 0.0000 0.0000 Pm
0.5000 0.5000 0.5000 Ho
0.2500 0.2500 0.2500 In
0.7500 0.7500 0.7500 In
```

Results
Final energy   -0.33326 Ry/atom

Co2MoRh | GGA-PBEsol | optimized geometry

Geometry as POSCAR:
```
Co2MoRh
1.0
-1.8190 1.8190 3.6782
1.8190 -1.8190 3.6782
1.8190 1.8190 -3.6782
Co Mo Rh
2 1 1
Direct
0.0000 0.0000 0.0000 Co
0.7500 0.2500 0.5000 Co
0.2500 0.7500 0.5000 Mo
0.5000 0.5000 0.0000 Rh
```

Results
ΔE to the lowest computed polymorph   0.05 eV per formula unit

Sn2Pd2Au | GGA-PBEsol | optimized geometry

Geometry as POSCAR:
```
Sn2Pd2Au
1.0
4.4318 0.0000 0.0000
-2.2159 3.8381 0.0000
0.0000 0.0000 5.5990
Sn Pd Au
2 2 1
Direct
0.0000 0.0000 0.0000 Sn
0.3333 0.6667 0.4275 Sn
0.3333 0.6667 0.9171 Pd
0.6667 0.3333 0.1840 Pd
0.6667 0.3333 0.6723 Au
```

Results
ΔE to the lowest computed polymorph   0.00 eV per formula unit

LiSi2Ni | GGA-PBEsol | optimized geometry

Geometry as POSCAR:
```
LiSi2Ni
1.0
2.5975 0.0000 0.0000
0.0000 2.5975 0.0000
0.0000 0.0000 7.3784
Li Si Ni
1 2 1
Direct
0.0000 0.0000 0.0000 Li
0.5000 0.5000 0.2826 Si
0.5000 0.5000 0.7174 Si
0.0000 0.0000 0.5000 Ni
```

Results
Formation energy from raw total energies   -0.360 eV/atom
ΔE to the lowest computed polymorph   0.00 eV per formula unit

Fe2SbBr | GGA-PBEsol | optimized geometry

Geometry as POSCAR:
```
Fe2SbBr
1.0
-1.6257 1.7516 7.2718
1.6257 -1.7516 7.2718
1.6257 1.7516 -7.2718
Fe Sb Br
2 1 1
Direct
0.0000 0.0000 0.0000 Fe
0.8827 0.3827 0.5000 Fe
0.3167 0.8167 0.5000 Sb
0.5846 0.5846 0.0000 Br
```

Results
Formation energy from raw total energies   0.307 eV/atom
ΔE to the lowest computed polymorph   0.00 eV per formula unit

Ca4ScPt | GGA-PBEsol | optimized geometry

Geometry as POSCAR:
```
Ca4ScPt
1.0
0.0000 4.4075 4.4075
4.4075 0.0000 4.4075
4.4075 4.4075 0.0000
Ca Sc Pt
4 1 1
Direct
0.1245 0.1245 0.1245 Ca
0.1245 0.1245 0.6266 Ca
0.1245 0.6266 0.1245 Ca
0.6266 0.1245 0.1245 Ca
0.5000 0.5000 0.5000 Sc
0.7500 0.7500 0.7500 Pt
```

Results
Final energy   -0.22815 Ry/atom

TlFeC2 | GGA-PBEsol | optimized geometry

Geometry as POSCAR:
```
TlFeC2
1.0
0.0000 3.9875 3.9875
3.9875 0.0000 3.9875
3.9875 3.9875 0.0000
Tl Fe C
2 2 4
Direct
0.1250 0.1250 0.1250 Tl
0.8750 0.8750 0.8750 Tl
0.3750 0.3750 0.3750 Fe
0.6250 0.6250 0.6250 Fe
0.0000 0.5000 0.5000 C
0.5000 0.0000 0.5000 C
0.5000 0.5000 0.0000 C
0.5000 0.5000 0.5000 C
```

Results
ΔE to the lowest computed polymorph   0.00 eV per formula unit

ZnNi5 | GGA-PBEsol | optimized geometry

Geometry as POSCAR:
```
ZnNi5
1.0
4.0410 0.0000 0.0000
0.0000 1.2410 6.4060
0.0000 -1.2410 6.4060
Zn Ni
1 5
Direct
0.0000 0.0000 0.0000 Zn
0.0000 0.3316 0.3316 Ni
0.0000 0.6691 0.6691 Ni
0.5000 0.2214 0.2214 Ni
0.5000 0.5571 0.5571 Ni
0.5000 0.8860 0.8860 Ni
```

Results
Final energy   -0.40030 Ry/atom

PPtCl4 | GGA-PBEsol | optimized geometry

Geometry as POSCAR:
```
PPtCl4
1.0
0.0000 3.8298 3.8298
3.8298 0.0000 3.8298
3.8298 3.8298 0.0000
P Pt Cl
1 1 4
Direct
0.0000 0.0000 0.0000 P
0.2500 0.2500 0.2500 Pt
0.1281 0.6240 0.6240 Cl
0.6240 0.1281 0.6240 Cl
0.6240 0.6240 0.1281 Cl
0.6240 0.6240 0.6240 Cl
```

Results
Formation energy from raw total energies   1.359 eV/atom

MnMo2Ir | GGA-PBEsol | optimized geometry

Geometry as POSCAR:
```
MnMo2Ir
1.0
3.1697 0.0000 0.0000
0.0000 3.1697 0.0000
0.0000 0.0000 5.5824
Mn Mo Ir
1 2 1
Direct
0.0000 0.0000 0.0000 Mn
0.5000 0.5000 0.2258 Mo
0.5000 0.5000 0.7742 Mo
0.0000 0.0000 0.5000 Ir
```

Results
ΔE to the lowest computed polymorph   0.84 eV per formula unit

ScTlGaCu2 | GGA-PBEsol | optimized geometry

Geometry as POSCAR:
```
ScTlGaCu2
1.0
4.7573 0.0000 0.0000
0.0000 4.7573 0.0000
0.0000 0.0000 5.3416
Sc Tl Ga Cu
1 1 1 2
Direct
0.0000 0.0000 0.0000 Sc
0.0000 0.0000 0.5000 Tl
0.5000 0.5000 0.0000 Ga
0.0000 0.5000 0.5000 Cu
0.5000 0.0000 0.5000 Cu
```

Results
Final energy   -0.25302 Ry/atom

BaOsW | GGA-PBEsol | optimized geometry

Geometry as POSCAR:
```
BaOsW
1.0
-1.6124 1.6124 6.4602
1.6124 -1.6124 6.4602
1.6124 1.6124 -6.4602
Ba Os W
1 1 1
Direct
0.0000 0.0000 0.0000 Ba
0.7033 0.7033 0.0000 Os
0.2891 0.2891 0.0000 W
```

Results
Final energy   -0.63679 Ry/atom

Number 1: total magnetization 3.61 Bohr magnetons per cell. Number 2: total magnetization 3.23 Bohr magnetons per cell. Number 3: total magnetization 0.00 Bohr magnetons per cell. Number 4: total magnetization 0.00 Bohr magnetons per cell. Number 5: total magnetization 0.00 Bohr magnetons per cell. Number 6: total magnetization 1.12 Bohr magnetons per cell. Number 7: total magnetization 0.00 Bohr magnetons per cell. Number 8: total magnetization 1.46 Bohr magnetons per cell. Number 9: total magnetization 0.00 Bohr magnetons per cell. Number 10: total magnetization 0.00 Bohr magnetons per cell. Number 11: total magnetization 0.00 Bohr magnetons per cell. Number 12: total magnetization 0.00 Bohr magnetons per cell. Number 13: total magnetization 3.78 Bohr magnetons per cell. Number 14: total magnetization 0.00 Bohr magnetons per cell. Number 15: total magnetization 0.00 Bohr magnetons per cell. Number 16: total magnetization 0.00 Bohr magnetons per cell. Number 17: total magnetization 0.00 Bohr magnetons per cell. Number 18: total magnetization 0.00 Bohr magnetons per cell. Number 19: total magnetization 0.00 Bohr magnetons per cell. Number 20: total magnetization 1.62 Bohr magnetons per cell. Number 21: total magnetization 0.00 Bohr magnetons per cell. Number 22: total magnetization 0.00 Bohr magnetons per cell. Number 23: total magnetization 5.50 Bohr magnetons per cell. Number 24: total magnetization 1.77 Bohr magnetons per cell. Number 25: total magnetization 0.00 Bohr magnetons per cell. Number 26: total magnetization 2.02 Bohr magnetons per cell. Number 27: total magnetization 0.00 Bohr magnetons per cell. Number 28: total magnetization 1.05 Bohr magnetons per cell. Number 29: total magnetization 0.01 Bohr magnetons per cell. Number 30: total magnetization 0.00 Bohr magnetons per cell.